No. 1
Compound: PmIO5
Source: OQMD via LeMat-Bulk
Functional: PBE
Structure: relaxed

Calculated values
Raw total energy ... -5.848 eV per atom
Total magnetic moment ... 0.0 μB/f.u.

Cell lengths 5.5517, 5.5517, 7.6844 Å; angles 110.30, 110.30, 71.64 degrees
Positions (direct):
1 Pm 0.0398 0.9602 0.7500
2 Pm 0.9602 0.0398 0.2500
3 I 0.5000 0.5000 0.0000
4 I 0.5000 0.5000 0.5000
5 O 0.2045 0.7778 0.0278
6 O 0.2222 0.7955 0.4722
7 O 0.2639 0.2890 0.3857
8 O 0.2890 0.2639 0.8857
9 O 0.4184 0.5816 0.7500
10 O 0.5816 0.4184 0.2500
11 O 0.7110 0.7361 0.1143
12 O 0.7361 0.7110 0.6143
13 O 0.7778 0.2045 0.5278
14 O 0.7955 0.2222 0.9722

No. 2
Compound: ZrSnGe2
Source: OQMD via LeMat-Bulk
Functional: PBE
Structure: relaxed

Calculated values
Raw total energy ... -5.281 eV per atom
Total magnetic moment ... 0.0 μB/f.u.

Cell lengths 7.0316, 7.0316, 7.0316 Å; angles 90.00, 90.00, 90.00 degrees
Positions (direct):
1 Zr 0.0000 0.0000 0.0000
2 Zr 0.0000 0.5000 0.5000
3 Zr 0.5000 0.0000 0.5000
4 Zr 0.5000 0.5000 0.0000
5 Sn 0.2500 0.2500 0.7500
6 Sn 0.2500 0.7500 0.2500
7 Sn 0.7500 0.2500 0.2500
8 Sn 0.7500 0.7500 0.7500
9 Ge 0.0000 0.0000 0.5000
10 Ge 0.0000 0.5000 0.0000
11 Ge 0.2500 0.2500 0.2500
12 Ge 0.2500 0.7500 0.7500
13 Ge 0.5000 0.0000 0.0000
14 Ge 0.5000 0.5000 0.5000
15 Ge 0.7500 0.2500 0.7500
16 Ge 0.7500 0.7500 0.2500

No. 3
Compound: AlCoW
Source: OQMD via LeMat-Bulk
Functional: PBE
Structure: relaxed

Calculated values
Raw total energy ... -7.942 eV per atom
Total magnetic moment ... 0.0 μB/f.u.

Cell lengths 6.2382, 3.6393, 7.0531 Å; angles 90.00, 90.00, 90.00 degrees
Positions (direct):
1 Al 0.2214 0.2500 0.1220
2 Al 0.2786 0.7500 0.6220
3 Al 0.7214 0.2500 0.3780
4 Al 0.7786 0.7500 0.8780
5 Co 0.1474 0.7500 0.9346
6 Co 0.3526 0.2500 0.4346
7 Co 0.6474 0.7500 0.5654
8 Co 0.8526 0.2500 0.0654
9 W 0.0202 0.7500 0.3270
10 W 0.4798 0.2500 0.8270
11 W 0.5202 0.7500 0.1730
12 W 0.9798 0.2500 0.6730

No. 4
Compound: UBeIr
Source: OQMD via LeMat-Bulk
Functional: PBE
Structure: relaxed

Calculated values
Excess energy over the best structure of this formula in the dataset ... 0.000 eV/atom
Raw total energy ... -7.889 eV per atom
Total magnetic moment ... 2.5 μB/f.u.

Cell lengths 5.8814, 5.8814, 5.8814 Å; angles 90.00, 90.00, 90.00 degrees
Positions (direct):
1 U 0.0000 0.0000 0.0000
2 U 0.0000 0.5000 0.5000
3 U 0.5000 0.0000 0.5000
4 U 0.5000 0.5000 0.0000
5 Be 0.2500 0.2500 0.7500
6 Be 0.2500 0.7500 0.2500
7 Be 0.7500 0.2500 0.2500
8 Be 0.7500 0.7500 0.7500
9 Ir 0.0000 0.0000 0.5000
10 Ir 0.0000 0.5000 0.0000
11 Ir 0.5000 0.0000 0.0000
12 Ir 0.5000 0.5000 0.5000

No. 5
Compound: PrGeMo
Source: OQMD via LeMat-Bulk
Functional: PBE
Structure: relaxed

Calculated values
Raw total energy ... -5.618 eV per atom
Total magnetic moment ... 3.8 μB/f.u.

Cell lengths 6.9751, 6.9751, 6.9751 Å; angles 90.00, 90.00, 90.00 degrees
Positions (direct):
1 Pr 0.0000 0.0000 0.0000
2 Pr 0.0000 0.5000 0.5000
3 Pr 0.5000 0.0000 0.5000
4 Pr 0.5000 0.5000 0.0000
5 Ge 0.2500 0.2500 0.7500
6 Ge 0.2500 0.7500 0.2500
7 Ge 0.7500 0.2500 0.2500
8 Ge 0.7500 0.7500 0.7500
9 Mo 0.2500 0.2500 0.2500
10 Mo 0.2500 0.7500 0.7500
11 Mo 0.7500 0.2500 0.7500
12 Mo 0.7500 0.7500 0.2500

No. 6
Compound: InAgTeS
Source: OQMD via LeMat-Bulk
Functional: PBE
Structure: relaxed

Calculated values
Excess energy over the best structure of this formula in the dataset ... 0.011 eV/atom
Raw total energy ... -3.541 eV per atom

Cell lengths 6.1928, 6.3167, 12.2104 Å; angles 90.00, 90.00, 90.00 degrees
Positions (direct):
1 In 0.0000 0.2500 0.1154
2 In 0.0000 0.7500 0.3846
3 In 0.5000 0.2500 0.8846
4 In 0.5000 0.7500 0.6154
5 Ag 0.0000 0.2500 0.6025
6 Ag 0.0000 0.7500 0.8975
7 Ag 0.5000 0.2500 0.3975
8 Ag 0.5000 0.7500 0.1025
9 Te 0.2352 0.0000 0.7500
10 Te 0.2648 0.0000 0.2500
11 Te 0.7352 0.5000 0.2500
12 Te 0.7648 0.5000 0.7500
13 S 0.2500 0.4814 0.0000
14 S 0.2500 0.5186 0.5000
15 S 0.7500 0.0186 0.0000
16 S 0.7500 0.9814 0.5000

No. 7
Compound: Li2Mg2SiSnPd2
Source: OQMD via LeMat-Bulk
Functional: PBE
Structure: relaxed

Calculated values
Raw total energy ... -3.885 eV per atom

Cell lengths 4.4374, 4.4374, 6.4036 Å; angles 90.00, 90.00, 90.00 degrees
Positions (direct):
1 Li 0.0000 0.5000 0.2285
2 Li 0.5000 0.0000 0.7715
3 Mg 0.0000 0.0000 0.0000
4 Mg 0.5000 0.5000 0.5000
5 Si 0.5000 0.5000 0.0000
6 Sn 0.0000 0.0000 0.5000
7 Pd 0.0000 0.5000 0.7755
8 Pd 0.5000 0.0000 0.2245

No. 8
Compound: Cs2TcSe3
Source: OQMD via LeMat-Bulk
Functional: PBE
Structure: relaxed

Calculated values
Excess energy over the best structure of this formula in the dataset ... 0.213 eV/atom
Raw total energy ... -4.273 eV per atom
Total magnetic moment ... 3.0 μB/f.u.

Cell lengths 8.3673, 8.3673, 9.6053 Å; angles 90.00, 90.00, 120.00 degrees
Positions (direct):
1 Cs 0.0000 0.0000 0.0000
2 Cs 0.0000 0.0000 0.5000
3 Cs 0.3333 0.6667 0.3731
4 Cs 0.6667 0.3333 0.6269
5 Tc 0.3333 0.6667 0.7804
6 Tc 0.6667 0.3333 0.2196
7 Se 0.0984 0.7328 0.7384
8 Se 0.2672 0.3656 0.7384
9 Se 0.3656 0.2672 0.2616
10 Se 0.6344 0.9016 0.7384
11 Se 0.7328 0.0984 0.2616
12 Se 0.9016 0.6344 0.2616

No. 9
Compound: PrPu2Ni9
Source: OQMD via LeMat-Bulk
Functional: PBE
Structure: relaxed

Calculated values
Raw total energy ... -6.981 eV per atom
DFT formation energy ... -53 meV/atom
Total magnetic moment ... 0.0 μB/f.u.

Cell lengths 8.6037, 8.6037, 8.6037 Å; angles 32.57, 32.57, 32.57 degrees
Positions (direct):
1 Pr 0.0000 0.0000 0.0000
2 Pu 0.1482 0.1482 0.1482
3 Pu 0.8518 0.8518 0.8518
4 Ni 0.0847 0.5833 0.5833
5 Ni 0.3327 0.3327 0.3327
6 Ni 0.4167 0.4167 0.9153
7 Ni 0.4167 0.9153 0.4167
8 Ni 0.5000 0.5000 0.5000
9 Ni 0.5833 0.0847 0.5833
10 Ni 0.5833 0.5833 0.0847
11 Ni 0.6673 0.6673 0.6673
12 Ni 0.9153 0.4167 0.4167

No. 10
Compound: TaRe2B2
Source: OQMD via LeMat-Bulk
Functional: PBE
Structure: relaxed

Calculated values
Excess energy over the best structure of this formula in the dataset ... 0.000 eV/atom
Raw total energy ... -10.228 eV per atom
Total magnetic moment ... 0.0 μB/f.u.

Cell lengths 6.2809, 6.2809, 2.9624 Å; angles 90.00, 90.00, 90.00 degrees
Positions (direct):
1 Ta 0.0000 0.0000 0.0000
2 Ta 0.5000 0.5000 0.0000
3 Re 0.1514 0.3486 0.5000
4 Re 0.3486 0.8486 0.5000
5 Re 0.6514 0.1514 0.5000
6 Re 0.8486 0.6514 0.5000
7 B 0.1373 0.6373 0.0000
8 B 0.3627 0.1373 0.0000
9 B 0.6373 0.8627 0.0000
10 B 0.8627 0.3627 0.0000

No. 11
Compound: ScInHg2
Source: OQMD via LeMat-Bulk
Functional: PBE
Structure: relaxed

Calculated values
Raw total energy ... -2.652 eV per atom
Total magnetic moment ... 0.0 μB/f.u.

Cell lengths 5.0282, 11.1534, 6.3982 Å; angles 90.00, 90.00, 90.00 degrees
Positions (direct):
1 Sc 0.2500 0.1677 0.0000
2 Sc 0.2500 0.6677 0.5000
3 Sc 0.7500 0.3323 0.5000
4 Sc 0.7500 0.8323 0.0000
5 In 0.2500 0.4168 0.7584
6 In 0.2500 0.9168 0.2584
7 In 0.7500 0.0832 0.2584
8 In 0.7500 0.5832 0.7584
9 Hg 0.2500 0.1722 0.5067
10 Hg 0.2500 0.4161 0.2623
11 Hg 0.2500 0.6722 0.0067
12 Hg 0.2500 0.9161 0.7623
13 Hg 0.7500 0.0839 0.7623
14 Hg 0.7500 0.3278 0.0067
15 Hg 0.7500 0.5839 0.2623
16 Hg 0.7500 0.8278 0.5067

No. 12
Compound: NdSc4C2S
Source: OQMD via LeMat-Bulk
Functional: PBE
Structure: relaxed

Calculated values
Raw total energy ... -7.376 eV per atom
Total magnetic moment ... 0.9 μB/f.u.

Cell lengths 3.4206, 3.4206, 14.8033 Å; angles 90.00, 90.00, 120.00 degrees
Positions (direct):
1 Nd 0.0000 0.0000 0.0000
2 Sc 0.0000 0.0000 0.3819
3 Sc 0.0000 0.0000 0.6181
4 Sc 0.6667 0.3333 0.2175
5 Sc 0.6667 0.3333 0.7825
6 C 0.3333 0.6667 0.2961
7 C 0.3333 0.6667 0.7039
8 S 0.6667 0.3333 0.5000